Density functional theory data (PBE-GGA) for a relaxed YReAu2 crystal.

E_tot   -0.46144 Ry per atom
M_tot   0.27 μB per formula unit
Space-group type   Pmmm (47)
Energy of formation   88 meV/atom

Lattice parameters (Å, degrees): 3.0110 4.1566 6.0582 90.00 90.00 90.00
Atoms (fractional coordinates):
Y1 0.0000 0.0000 0.0000
Re1 0.0000 0.0000 0.5000
Au1 0.5000 0.5000 0.2739
Au2 0.5000 0.5000 0.7261